A plane-wave DFT calculation with PBE-GGA was carried out for a relaxed Ba3Sm3PuTe8 crystal.

Structure (POSCAR):
```
Ba3Sm3PuTe8
1.0
4.577 2.643 7.999
-4.577 2.643 7.999
0.000 -5.285 7.999
Ba Sm Pu Te
3 3 1 8
Cartesian
-2.289 -1.321 7.999
-2.289 1.321 15.998
0.000 2.643 7.999
-4.577 0.000 11.999
-2.289 1.321 4.000
2.289 1.321 4.000
0.000 0.000 11.999
-2.329 -1.345 13.768
0.000 0.000 5.771
0.000 -2.690 10.229
-2.329 1.345 10.229
2.329 -1.345 13.768
0.000 2.690 13.768
0.000 0.000 18.226
2.329 1.345 10.229
```

Results
N(E_F) (states/eV/atom): 1.43
Total moment (μB/f.u.): 5.7
Raw formation energy (eV/f.u.): -22.397
Space group: R-3m (166)

A plane-wave DFT calculation with PBE-GGA was carried out for a relaxed Ba3Sm2PuTe6 crystal.

Structure (POSCAR):
```
Ba3Sm2PuTe6
1.0
4.025 -6.975 0.000
4.025 6.975 0.000
-2.685 0.000 7.864
Ba Sm Pu Te
3 2 1 6
Cartesian
0.000 0.000 0.000
4.025 2.321 0.000
4.025 -2.321 0.000
2.682 4.649 3.932
2.682 -4.649 3.932
2.682 0.000 3.932
1.338 2.331 2.194
-0.008 0.000 5.665
1.338 -2.331 2.194
4.027 2.331 5.670
5.373 0.000 2.199
4.027 -2.331 5.670
```

Results
N(E_F) (states/eV/atom): 1.64
Total moment (μB/f.u.): 6.2
Raw formation energy (eV/f.u.): -18.049
Space group: C2/m (12)

A plane-wave DFT calculation with PBE-GGA was carried out for a relaxed BaPuSn2 crystal.

Structure (POSCAR):
```
BaPuSn2
1.0
3.585 0.000 0.000
0.000 3.585 0.000
0.000 0.000 9.597
Ba Pu Sn
1 1 2
Cartesian
0.000 0.000 0.000
0.000 0.000 4.799
1.792 1.792 2.618
1.792 1.792 6.980
```

Results
ΔE_f (kJ/mol of formula units): -162
N(E_F) (states/eV/atom): 1.99
Total moment (μB/f.u.): 5.7
Space group: P4/mmm (123)

A plane-wave DFT calculation with PBE-GGA was carried out for a relaxed BaPuSn2 crystal.

Structure (POSCAR):
```
BaPuSn2
1.0
2.616 1.510 6.072
-2.616 1.510 6.072
0.000 -3.021 6.072
Ba Pu Sn
1 1 2
Cartesian
0.000 0.000 0.000
0.000 0.000 9.108
0.000 0.000 4.004
0.000 0.000 14.213
```

Results
ΔE_f (kJ/mol of formula units): -96
N(E_F) (states/eV/atom): 3.23
Total moment (μB/f.u.): 6.1
Space group: R-3m (166)

A plane-wave DFT calculation with PBE-GGA was carried out for a relaxed BaPuSn4 crystal.

Structure (POSCAR):
```
BaPuSn4
1.0
0.000 4.480 4.480
4.480 0.000 4.480
4.480 4.480 0.000
Ba Pu Sn
1 1 4
Cartesian
0.000 0.000 0.000
2.240 2.240 2.240
5.590 3.370 3.370
3.370 5.590 3.370
3.370 3.370 5.590
5.590 5.590 5.590
```

Results
ΔE_f (kJ/mol of formula units): -178
N(E_F) (states/eV/atom): 2.92
Total moment (μB/f.u.): 6.0
Space group: F-43m (216)

A plane-wave DFT calculation with PBE-GGA was carried out for a relaxed Ba2PuSnTe5 crystal.

Structure (POSCAR):
```
Ba2PuSnTe5
1.0
2.381 -9.948 0.000
2.381 9.948 0.000
0.000 0.000 14.303
Ba Pu Sn Te
4 2 2 10
Cartesian
2.381 7.686 7.152
2.381 7.227 1.833
2.381 -7.227 8.984
2.381 -7.686 0.000
2.381 5.782 11.886
2.381 -5.782 4.735
2.381 0.737 3.797
2.381 -0.737 10.949
2.381 8.873 12.663
2.381 4.216 6.760
2.381 3.602 2.663
2.381 2.674 11.664
2.381 0.195 8.205
2.381 -0.195 1.053
2.381 -2.674 4.513
2.381 -3.602 9.815
2.381 -4.216 13.912
2.381 -8.873 5.512
```

Results
N(E_F) (states/eV/atom): 1.76
Total moment (μB/f.u.): 5.0
Raw formation energy (eV/f.u.): -9.960
Space group: Cmc2_1 (36)